Entry 1:
Compound: Mg3As2Pd4
Source: the Alexandria database
Functional: PBE
Structure: optimized geometry

Properties
Calculated density, g/cm³: 6.97
Crystal system: triclinic
Calculated formation energy, eV/atom: -0.5092

abc: 7.317 6.397 6.660
angles: 89.03 91.63 82.61
Fractional coordinates of all 18 atoms:
Mg1 0.698 0.706 0.922
Mg2 0.249 0.971 0.761
Mg3 0.751 0.029 0.239
Mg4 0.302 0.294 0.078
Mg5 0.206 0.672 0.415
Mg6 0.794 0.328 0.585
Pd1 0.582 0.132 0.850
Pd2 0.956 0.205 0.932
Pd3 0.597 0.444 0.231
Pd4 0.044 0.795 0.068
Pd5 0.114 0.112 0.374
Pd6 0.418 0.868 0.150
Pd7 0.886 0.888 0.626
Pd8 0.403 0.556 0.769
As1 0.940 0.453 0.217
As2 0.060 0.547 0.783
As3 0.580 0.754 0.498
As4 0.420 0.246 0.502

---

Entry 2:
Compound: Np3TiAg3S8
Source: the Alexandria database
Functional: PBE
Structure: optimized geometry

Properties
Formation energy from raw total energies, meV/atom: -918
Calculated density, g/cm³: 6.72
Crystal system: monoclinic

abc: 7.862 7.861 7.684
angles: 120.92 90.00 120.00
Last column: magnetic moment on the atom in μB.
Fractional coordinates of all 15 atoms:
Ag1 0.000 0.000 0.000  -0.02
Ag2 0.500 0.500 0.000  -0.02
Ag3 0.000 0.500 0.000  -0.02
S1 0.231 0.996 0.726  -0.08
S2 0.768 0.537 0.274  -0.08
S3 0.253 0.506 0.261  -0.10
S4 0.747 0.494 0.739  -0.10
S5 0.764 0.996 0.726  -0.08
S6 0.236 0.004 0.274  -0.08
S7 0.232 0.463 0.726  -0.08
S8 0.769 0.004 0.274  -0.08
Ti1 0.000 0.000 0.500  0.84
Np1 0.500 0.000 0.500  3.71
Np2 0.000 0.500 0.500  3.71
Np3 0.500 0.500 0.500  3.71

---

Entry 3:
Compound: SbTe2PtSe
Source: the Alexandria database
Functional: PBE
Structure: optimized geometry

Properties
Formation energy from raw total energies, meV/atom: 469
Calculated density, g/cm³: 7.31
Energy above the lowest structure with this stoichiometry, eV/atom: 0.000
Crystal system: tetragonal

abc: 5.339 5.339 5.186
angles: 90.00 90.00 90.00
Fractional coordinates of all 5 atoms:
Te1 0.500 0.000 0.000
Te2 0.000 0.500 0.000
Sb1 0.000 0.000 0.500
Pt1 0.000 0.000 0.000
Se1 0.500 0.500 0.500

---

Entry 4:
Compound: TiZn2Ni2
Source: the Alexandria database
Functional: PBE
Structure: optimized geometry

Properties
Calculated density, g/cm³: 7.01
Energy above the lowest structure with this stoichiometry, eV/atom: 0.224
Crystal system: tetragonal
Calculated formation energy, eV/atom: 0.0031

abc: 3.574 3.574 6.046
angles: 72.81 72.81 90.00
Fractional coordinates of all 5 atoms:
Ni1 0.750 0.250 0.500
Ni2 0.250 0.750 0.500
Zn1 0.393 0.393 0.214
Zn2 0.607 0.607 0.786
Ti1 0.000 0.000 0.000

---

Entry 5:
Compound: MgScAu4
Source: the Alexandria database
Functional: PBE
Structure: optimized geometry

Properties
Calculated density, g/cm³: 12.83
Energy above the lowest structure with this stoichiometry, eV/atom: 0.000
Crystal system: monoclinic
Calculated formation energy, eV/atom: -0.6301

abc: 3.547 5.081 7.150
angles: 101.65 75.64 69.57
Fractional coordinates of all 6 atoms:
Au1 0.333 0.004 0.330
Au2 0.171 0.490 0.168
Au3 0.667 0.996 0.670
Au4 0.829 0.510 0.832
Mg1 0.000 0.000 0.000
Sc1 0.500 0.500 0.500

---

Entry 6:
Compound: TbSm3Mg
Source: the Alexandria database
Functional: PBE
Structure: optimized geometry

Properties
Calculated density, g/cm³: 6.67
Energy above the lowest structure with this stoichiometry, eV/atom: 0.000
Crystal system: monoclinic
Calculated formation energy, eV/atom: -0.0169

abc: 3.736 6.779 12.990
angles: 86.99 90.00 74.01
Fractional coordinates of all 10 atoms:
Sm1 0.961 0.079 0.811
Sm2 0.635 0.731 0.974
Sm3 0.039 0.921 0.189
Sm4 0.850 0.299 0.559
Sm5 0.365 0.269 0.026
Sm6 0.150 0.701 0.441
Mg1 0.559 0.881 0.626
Mg2 0.441 0.119 0.374
Tb1 0.770 0.460 0.243
Tb2 0.230 0.540 0.757